1.
{"formula": "NdCuNiP2", "functional": "PBE-GGA", "state": "relaxed", "formation_enthalpy_0k_mev_per_atom": -817, "space_group": "I-4m2 (119)", "crystal_system": "tetragonal", "vol_a3_per_cell": 79, "cell": [[-3.6392, -0.9182, 1.0761], [-0.3434, -2.3079, -3.1306], [3.8185, -2.3982, 3.7839]], "species": ["P", "Ni", "Cu", "P", "Nd"], "frac_coords": [[0.6299, 0.6299, 0.2597], [0.7500, 0.2500, 0.5000], [0.2500, 0.7500, 0.5000], [0.3701, 0.3701, 0.7403], [0.0000, 0.0000, 0.0000]]}

2.
{"formula": "Nd2CuNi3P4", "functional": "PBE-GGA", "state": "relaxed", "formation_enthalpy_0k_mev_per_atom": -924, "space_group": "P-4m2 (115)", "crystal_system": "tetragonal", "vol_a3_per_cell": 153, "cell": [[4.0777, 0.0000, 0.0000], [0.0000, 4.0777, 0.0000], [0.0000, 0.0000, 9.2279]], "species": ["Ni", "Cu", "Nd", "Ni", "P", "P", "Nd", "P", "P", "Ni"], "frac_coords": [[0.0000, 0.0000, 0.5000], [0.5000, 0.5000, 0.5000], [0.0000, 0.5000, 0.7537], [0.0000, 0.5000, 0.1121], [0.0000, 0.0000, 0.0000], [0.0000, 0.5000, 0.3662], [0.5000, 0.0000, 0.2463], [0.5000, 0.0000, 0.6338], [0.5000, 0.5000, 0.0000], [0.5000, 0.0000, 0.8879]]}

3.
{"formula": "Nd2Cu12Ni3Pd", "functional": "PBE-GGA", "state": "relaxed", "formation_enthalpy_0k_mev_per_atom": 470, "space_group": "R-3m (166)", "crystal_system": "trigonal", "vol_a3_per_cell": 319, "cell": [[7.5309, -0.1398, -0.0991], [3.5976, 6.6175, -0.0991], [3.5976, 2.0941, 6.2782]], "species": ["Nd", "Cu", "Ni", "Cu", "Cu", "Nd", "Ni", "Cu", "Cu", "Ni", "Cu", "Cu", "Cu", "Cu", "Cu", "Cu", "Pd", "Cu"], "frac_coords": [[0.6141, 0.6141, 0.6141], [0.8698, 0.3831, 0.8698], [0.0000, 0.0000, 0.5000], [0.6169, 0.1302, 0.1302], [0.3594, 0.8834, 0.3594], [0.3859, 0.3859, 0.3859], [0.5000, 0.0000, 0.0000], [0.1166, 0.6406, 0.6406], [0.3594, 0.3594, 0.8834], [0.0000, 0.5000, 0.0000], [0.8698, 0.8698, 0.3831], [0.8834, 0.3594, 0.3594], [0.6406, 0.6406, 0.1166], [0.1302, 0.6169, 0.1302], [0.1302, 0.1302, 0.6169], [0.3831, 0.8698, 0.8698], [0.0000, 0.0000, 0.0000], [0.6406, 0.1166, 0.6406]]}

4.
{"formula": "Nd2Cu5Ni2Pd", "functional": "PBE-GGA", "state": "relaxed", "formation_enthalpy_0k_mev_per_atom": -194, "space_group": "P4/mbm (127)", "crystal_system": "tetragonal", "vol_a3_per_cell": 320, "cell": [[-2.7956, -1.8197, -1.9923], [5.2085, -7.4119, -0.5391], [-3.5481, -3.0587, 7.7724]], "species": ["Cu", "Cu", "Cu", "Pd", "Ni", "Nd", "Cu", "Cu", "Pd", "Nd", "Cu", "Ni", "Nd", "Ni", "Ni", "Nd", "Cu", "Cu", "Cu", "Cu"], "frac_coords": [[0.5000, 0.5000, 0.0000], [0.5000, 0.7952, 0.9461], [0.5000, 0.7048, 0.4461], [0.0000, 0.5000, 0.5000], [0.0000, 0.8872, 0.3872], [0.0000, 0.6850, 0.1850], [0.5000, 0.2048, 0.0539], [0.5000, 0.9461, 0.2048], [0.0000, 0.0000, 0.0000], [0.0000, 0.3150, 0.8150], [0.5000, 0.0539, 0.7952], [0.0000, 0.1128, 0.6128], [0.0000, 0.8150, 0.6850], [0.0000, 0.3872, 0.1128], [0.0000, 0.6128, 0.8872], [0.0000, 0.1850, 0.3150], [0.5000, 0.2952, 0.5539], [0.5000, 0.4461, 0.2952], [0.5000, 0.5539, 0.7048], [0.5000, 0.0000, 0.5000]]}